--- A ---
Computed, not measured: a relaxed structure of Tb2PtI at the PBE-GGA level of DFT.

Cell: 7.3037 4.2154 8.3642 Å, 90.00 90.67 90.00°
Last column: nearest neighbours and their distance in Å.
Positions (direct):
1 Tb 0.0000 0.0000 0.0000  3 Pt 2.79
2 Tb 0.1622 0.5000 0.6589  3 Pt 2.85
3 Tb 0.5000 0.5000 0.0000  3 Pt 2.79
4 Tb 0.6622 0.0000 0.6589  3 Pt 2.85
5 Pt 0.3314 0.0000 0.8366  6 Tb 2.79-2.85
6 Pt 0.8314 0.5000 0.8366  6 Tb 2.79-2.85
7 I 0.4925 0.5000 0.3824  4 Tb 3.20-3.36
8 I 0.9925 0.0000 0.3824  4 Tb 3.20-3.36

Values from the calculation:
Space-group type: Cm
Density of states at the Fermi level (states/eV/atom): 0.615

---

--- B ---
Computed, not measured: a relaxed structure of Tb2PtI at the PBE-GGA level of DFT.

Cell: 4.1671 4.1671 23.7315 Å, 90.00 90.00 120.00°
Last column: nearest neighbours and their distance in Å.
Positions (direct):
1 Tb 0.0000 0.0000 0.2281  3 Pt 2.81
2 Tb 0.0000 0.0000 0.7719  3 Pt 2.81
3 Tb 0.3333 0.6667 0.4386  3 Pt 2.81
4 Tb 0.3333 0.6667 0.8947  3 Pt 2.81
5 Tb 0.6667 0.3333 0.1053  3 Pt 2.81
6 Tb 0.6667 0.3333 0.5614  3 Pt 2.81
7 Pt 0.0000 0.0000 0.5000  6 Tb 2.81
8 Pt 0.3333 0.6667 0.1667  6 Tb 2.81
9 Pt 0.6667 0.3333 0.8333  6 Tb 2.81
10 I 0.0000 0.0000 0.0000  6 Tb 3.47
11 I 0.3333 0.6667 0.6667  6 Tb 3.47
12 I 0.6667 0.3333 0.3333  6 Tb 3.47

Values from the calculation:
Space-group type: R-3m
Density of states at the Fermi level (states/eV/atom): 0.671

---

Last place for stability: A

---

--- A ---
Computed, not measured: a relaxed structure of Tc2PtI at the PBE-GGA level of DFT.

Cell: 6.4322 6.4322 6.4322 Å, 90.00 90.00 90.00°
Last column: nearest neighbours and their distance in Å.
Positions (direct):
1 Tc 0.2500 0.2500 0.2500  4 I 2.79, 4 Pt 2.79
2 Tc 0.2500 0.2500 0.7500  4 I 2.79, 4 Pt 2.79
3 Tc 0.2500 0.7500 0.2500  4 I 2.79, 4 Pt 2.79
4 Tc 0.2500 0.7500 0.7500  4 I 2.79, 4 Pt 2.79
5 Tc 0.7500 0.2500 0.2500  4 I 2.79, 4 Pt 2.79
6 Tc 0.7500 0.2500 0.7500  4 I 2.79, 4 Pt 2.79
7 Tc 0.7500 0.7500 0.2500  4 I 2.79, 4 Pt 2.79
8 Tc 0.7500 0.7500 0.7500  4 I 2.79, 4 Pt 2.79
9 Pt 0.0000 0.0000 0.0000  8 Tc 2.79
10 Pt 0.0000 0.5000 0.5000  8 Tc 2.79
11 Pt 0.5000 0.0000 0.5000  8 Tc 2.79
12 Pt 0.5000 0.5000 0.0000  8 Tc 2.79
13 I 0.0000 0.0000 0.5000  8 Tc 2.79
14 I 0.0000 0.5000 0.0000  8 Tc 2.79
15 I 0.5000 0.0000 0.0000  8 Tc 2.79
16 I 0.5000 0.5000 0.5000  8 Tc 2.79

Values from the calculation:
Space-group type: Fm-3m
Density of states at the Fermi level (states/eV/atom): 1.079

---

--- B ---
Computed, not measured: a relaxed structure of Tc2PtI at the PBE-GGA level of DFT.

Cell: 5.7240 5.7240 11.9240 Å, 90.00 90.00 90.00°
Last column: nearest neighbours and their distance in Å.
Positions (direct):
1 Tc 0.2281 0.2500 0.1250  2 Pt 2.44, 2 I 2.59
2 Tc 0.2500 0.7281 0.3750  2 Pt 2.44, 2 I 2.59
3 Tc 0.2500 0.7719 0.8750  2 Pt 2.44, 2 I 2.59
4 Tc 0.2719 0.2500 0.6250  2 Pt 2.44, 2 I 2.59
5 Tc 0.7281 0.7500 0.6250  2 Pt 2.44, 2 I 2.59
6 Tc 0.7500 0.2281 0.8750  2 Pt 2.44, 2 I 2.59
7 Tc 0.7500 0.2719 0.3750  2 Pt 2.44, 2 I 2.59
8 Tc 0.7719 0.7500 0.1250  2 Pt 2.44, 2 I 2.59
9 Pt 0.0000 0.0000 0.0000  4 Tc 2.44
10 Pt 0.0000 0.5000 0.2500  4 Tc 2.44
11 Pt 0.5000 0.0000 0.7500  4 Tc 2.44
12 Pt 0.5000 0.5000 0.5000  4 Tc 2.44
13 I 0.0000 0.0000 0.5000  4 Tc 2.59
14 I 0.0000 0.5000 0.7500  4 Tc 2.59
15 I 0.5000 0.0000 0.2500  4 Tc 2.59
16 I 0.5000 0.5000 0.0000  4 Tc 2.59

Values from the calculation:
Space-group type: I-42d
Density of states at the Fermi level (states/eV/atom): 1.125

---

Last place for stability: B

---

--- A ---
Computed, not measured: a relaxed structure of TcPt2I at the PBE-GGA level of DFT.

Cell: 6.6496 6.6496 6.6496 Å, 90.00 90.00 90.00°
Last column: nearest neighbours and their distance in Å.
Positions (direct):
1 Tc 0.0000 0.0000 0.0000  8 Pt 2.88
2 Tc 0.0000 0.5000 0.5000  8 Pt 2.88
3 Tc 0.5000 0.0000 0.5000  8 Pt 2.88
4 Tc 0.5000 0.5000 0.0000  8 Pt 2.88
5 Pt 0.2500 0.2500 0.2500  4 Tc 2.88, 4 I 2.88
6 Pt 0.2500 0.2500 0.7500  4 Tc 2.88, 4 I 2.88
7 Pt 0.2500 0.7500 0.2500  4 Tc 2.88, 4 I 2.88
8 Pt 0.2500 0.7500 0.7500  4 Tc 2.88, 4 I 2.88
9 Pt 0.7500 0.2500 0.2500  4 Tc 2.88, 4 I 2.88
10 Pt 0.7500 0.2500 0.7500  4 Tc 2.88, 4 I 2.88
11 Pt 0.7500 0.7500 0.2500  4 Tc 2.88, 4 I 2.88
12 Pt 0.7500 0.7500 0.7500  4 Tc 2.88, 4 I 2.88
13 I 0.0000 0.0000 0.5000  8 Pt 2.88
14 I 0.0000 0.5000 0.0000  8 Pt 2.88
15 I 0.5000 0.0000 0.0000  8 Pt 2.88
16 I 0.5000 0.5000 0.5000  8 Pt 2.88

Values from the calculation:
Space-group type: Fm-3m
Density of states at the Fermi level (states/eV/atom): 0.917

---

--- B ---
Computed, not measured: a relaxed structure of TcPt2I at the PBE-GGA level of DFT.

Cell: 6.5919 6.5919 9.0664 Å, 90.00 90.00 90.00°
Last column: nearest neighbours and their distance in Å.
Positions (direct):
1 Tc 0.0000 0.0000 0.0000  4 Pt 2.42
2 Tc 0.0000 0.5000 0.2500  4 Pt 2.42
3 Tc 0.5000 0.0000 0.7500  4 Pt 2.42
4 Tc 0.5000 0.5000 0.5000  4 Pt 2.42
5 Pt 0.2078 0.2500 0.1250  2 Tc 2.42
6 Pt 0.2500 0.7078 0.3750  2 Tc 2.42
7 Pt 0.2500 0.7922 0.8750  2 Tc 2.42
8 Pt 0.2922 0.2500 0.6250  2 Tc 2.42
9 Pt 0.7078 0.7500 0.6250  2 Tc 2.42
10 Pt 0.7500 0.2078 0.8750  2 Tc 2.42
11 Pt 0.7500 0.2922 0.3750  2 Tc 2.42
12 Pt 0.7922 0.7500 0.1250  2 Tc 2.42
13 I 0.0000 0.0000 0.5000  4 Pt 2.78
14 I 0.0000 0.5000 0.7500  4 Pt 2.78
15 I 0.5000 0.0000 0.2500  4 Pt 2.78
16 I 0.5000 0.5000 0.0000  4 Pt 2.78

Values from the calculation:
Space-group type: I-42d
Density of states at the Fermi level (states/eV/atom): 0.485

---

Last place for stability: A

---

--- A ---
Computed, not measured: a relaxed structure of TcTePtI2 at the PBE-GGA level of DFT.

Cell: 5.4266 5.4266 5.0415 Å, 90.00 90.00 90.00°
Last column: nearest neighbours and their distance in Å.
Positions (direct):
1 Tc 0.0000 0.0000 0.0000  2 Te 2.52, 4 I 2.71
2 Te 0.0000 0.0000 0.5000  2 Tc 2.52
3 Pt 0.5000 0.5000 0.5000  8 I 3.70, 4 Te 3.84
4 I 0.0000 0.5000 0.0000  2 Tc 2.71
5 I 0.5000 0.0000 0.0000  2 Tc 2.71

Values from the calculation:
Space-group type: P4/mmm
Density of states at the Fermi level (states/eV/atom): 1.817

---

--- B ---
Computed, not measured: a relaxed structure of TcTePtI2 at the PBE-GGA level of DFT.

Cell: 5.4432 5.4432 5.3929 Å, 90.00 90.00 90.00°
Last column: nearest neighbours and their distance in Å.
Positions (direct):
1 Tc 0.0000 0.0000 0.0000  8 I 3.83, 4 Te 3.85
2 Te 0.5000 0.5000 0.0000  2 Pt 2.70
3 Pt 0.5000 0.5000 0.5000  2 Te 2.70, 4 I 2.72
4 I 0.0000 0.5000 0.5000  2 Pt 2.72
5 I 0.5000 0.0000 0.5000  2 Pt 2.72

Values from the calculation:
Space-group type: P4/mmm
Density of states at the Fermi level (states/eV/atom): 0.708

---

Last place for stability: A

---

--- A ---
Computed, not measured: a relaxed structure of Te2Pt2I at the PBE-GGA level of DFT.

Cell: 3.9783 3.9783 16.7119 Å, 90.00 90.00 90.00°
Last column: nearest neighbours and their distance in Å.
Positions (direct):
1 Te 0.0000 0.0000 0.1774  5 Pt 2.62-2.82
2 Te 0.0000 0.0000 0.8226  5 Pt 2.62-2.82
3 Te 0.5000 0.5000 0.3226  5 Pt 2.62-2.82
4 Te 0.5000 0.5000 0.6774  5 Pt 2.62-2.82
5 Pt 0.0000 0.0000 0.3342  5 Te 2.62-2.82, 1 I 2.77
6 Pt 0.0000 0.0000 0.6658  5 Te 2.62-2.82, 1 I 2.77
7 Pt 0.5000 0.5000 0.1658  5 Te 2.62-2.82, 1 I 2.77
8 Pt 0.5000 0.5000 0.8342  5 Te 2.62-2.82, 1 I 2.77
9 I 0.0000 0.0000 0.5000  2 Pt 2.77
10 I 0.5000 0.5000 0.0000  2 Pt 2.77

Values from the calculation:
Space-group type: I4/mmm
Density of states at the Fermi level (states/eV/atom): 0.449

---

--- B ---
Computed, not measured: a relaxed structure of Te2Pt2I at the PBE-GGA level of DFT.

Cell: 4.0196 4.0196 16.2897 Å, 90.00 90.00 90.00°
Last column: nearest neighbours and their distance in Å.
Positions (direct):
1 Te 0.0000 0.0000 0.1384  4 Pt 2.71
2 Te 0.0000 0.0000 0.8616  4 Pt 2.71
3 Te 0.5000 0.5000 0.3616  4 Pt 2.71
4 Te 0.5000 0.5000 0.6384  4 Pt 2.71
5 Pt 0.0000 0.5000 0.2500  4 Te 2.71, 4 Pt 2.84
6 Pt 0.0000 0.5000 0.7500  4 Te 2.71, 4 Pt 2.84
7 Pt 0.5000 0.0000 0.2500  4 Te 2.71, 4 Pt 2.84
8 Pt 0.5000 0.0000 0.7500  4 Te 2.71, 4 Pt 2.84
9 I 0.0000 0.0000 0.5000  8 Te 3.63, 4 I 4.02
10 I 0.5000 0.5000 0.0000  8 Te 3.63, 4 I 4.02

Values from the calculation:
Space-group type: I4/mmm
Density of states at the Fermi level (states/eV/atom): 0.798

---

Last place for stability: B

---

--- A ---
Computed, not measured: a relaxed structure of TePt2I at the PBE-GGA level of DFT.

Cell: 6.4834 6.4834 10.6642 Å, 90.00 90.00 90.00°
Last column: nearest neighbours and their distance in Å.
Positions (direct):
1 Te 0.0000 0.0000 0.0000  4 Pt 2.57
2 Te 0.0000 0.5000 0.2500  4 Pt 2.57
3 Te 0.5000 0.0000 0.7500  4 Pt 2.57
4 Te 0.5000 0.5000 0.5000  4 Pt 2.57
5 Pt 0.2288 0.2500 0.1250  2 Te 2.57, 2 I 2.74
6 Pt 0.2500 0.7288 0.3750  2 Te 2.57, 2 I 2.74
7 Pt 0.2500 0.7712 0.8750  2 Te 2.57, 2 I 2.74
8 Pt 0.2712 0.2500 0.6250  2 Te 2.57, 2 I 2.74
9 Pt 0.7288 0.7500 0.6250  2 Te 2.57, 2 I 2.74
10 Pt 0.7500 0.2288 0.8750  2 Te 2.57, 2 I 2.74
11 Pt 0.7500 0.2712 0.3750  2 Te 2.57, 2 I 2.74
12 Pt 0.7712 0.7500 0.1250  2 Te 2.57, 2 I 2.74
13 I 0.0000 0.0000 0.5000  4 Pt 2.74
14 I 0.0000 0.5000 0.7500  4 Pt 2.74
15 I 0.5000 0.0000 0.2500  4 Pt 2.74
16 I 0.5000 0.5000 0.0000  4 Pt 2.74

Values from the calculation:
Space-group type: I-42d
Density of states at the Fermi level (states/eV/atom): 0.667

---

--- B ---
Computed, not measured: a relaxed structure of TePt2I at the PBE-GGA level of DFT.

Cell: 6.9600 6.9600 6.9600 Å, 90.00 90.00 90.00°
Last column: nearest neighbours and their distance in Å.
Positions (direct):
1 Te 0.0000 0.0000 0.0000  8 Pt 3.01
2 Te 0.0000 0.5000 0.5000  8 Pt 3.01
3 Te 0.5000 0.0000 0.5000  8 Pt 3.01
4 Te 0.5000 0.5000 0.0000  8 Pt 3.01
5 Pt 0.2500 0.2500 0.2500  4 Te 3.01, 4 I 3.01
6 Pt 0.2500 0.2500 0.7500  4 Te 3.01, 4 I 3.01
7 Pt 0.2500 0.7500 0.2500  4 Te 3.01, 4 I 3.01
8 Pt 0.2500 0.7500 0.7500  4 Te 3.01, 4 I 3.01
9 Pt 0.7500 0.2500 0.2500  4 Te 3.01, 4 I 3.01
10 Pt 0.7500 0.2500 0.7500  4 Te 3.01, 4 I 3.01
11 Pt 0.7500 0.7500 0.2500  4 Te 3.01, 4 I 3.01
12 Pt 0.7500 0.7500 0.7500  4 I 3.01, 4 Te 3.01
13 I 0.0000 0.0000 0.5000  8 Pt 3.01
14 I 0.0000 0.5000 0.0000  8 Pt 3.01
15 I 0.5000 0.0000 0.0000  8 Pt 3.01
16 I 0.5000 0.5000 0.5000  8 Pt 3.01

Values from the calculation:
Space-group type: Fm-3m
Density of states at the Fermi level (states/eV/atom): 0.932

---

Last place for stability: B

---

--- A ---
Computed, not measured: a relaxed structure of TiTe2PtI at the PBE-GGA level of DFT.

Cell: 5.3057 5.3057 5.3877 Å, 90.00 90.00 90.00°
Last column: nearest neighbours and their distance in Å.
Positions (direct):
1 Ti 0.0000 0.0000 0.0000  4 I 3.75, 8 Te 3.78
2 Te 0.0000 0.5000 0.5000  2 Pt 2.65
3 Te 0.5000 0.0000 0.5000  2 Pt 2.65
4 Pt 0.5000 0.5000 0.5000  4 Te 2.65, 2 I 2.69
5 I 0.5000 0.5000 0.0000  2 Pt 2.69

Values from the calculation:
Space-group type: P4/mmm
Density of states at the Fermi level (states/eV/atom): 1.811

---

--- B ---
Computed, not measured: a relaxed structure of TiTe2PtI at the PBE-GGA level of DFT.

Cell: 5.3368 5.3368 5.1624 Å, 90.00 90.00 90.00°
Last column: nearest neighbours and their distance in Å.
Positions (direct):
1 Ti 0.0000 0.0000 0.0000  2 I 2.58, 4 Te 2.67
2 Te 0.0000 0.5000 0.0000  2 Ti 2.67
3 Te 0.5000 0.0000 0.0000  2 Ti 2.67
4 Pt 0.5000 0.5000 0.5000  8 Te 3.71, 4 I 3.77
5 I 0.0000 0.0000 0.5000  2 Ti 2.58

Values from the calculation:
Space-group type: P4/mmm
Density of states at the Fermi level (states/eV/atom): 1.395

---

Last place for stability: A

---

--- A ---
Computed, not measured: a relaxed structure of Te2PtWI at the PBE-GGA level of DFT.

Cell: 5.2981 5.2981 5.3438 Å, 90.00 90.00 90.00°
Last column: nearest neighbours and their distance in Å.
Positions (direct):
1 Te 0.0000 0.5000 0.0000  2 Pt 2.65
2 Te 0.5000 0.0000 0.0000  2 Pt 2.65
3 Pt 0.0000 0.0000 0.0000  4 Te 2.65, 2 I 2.67
4 W 0.5000 0.5000 0.5000  4 I 3.75, 8 Te 3.76
5 I 0.0000 0.0000 0.5000  2 Pt 2.67

Values from the calculation:
Space-group type: P4/mmm
Density of states at the Fermi level (states/eV/atom): 1.003

---

--- B ---
Computed, not measured: a relaxed structure of Te2PtWI at the PBE-GGA level of DFT.

Cell: 5.2058 5.2058 5.4277 Å, 90.00 90.00 90.00°
Last column: nearest neighbours and their distance in Å.
Positions (direct):
1 Te 0.0000 0.5000 0.0000  2 W 2.60
2 Te 0.5000 0.0000 0.0000  2 W 2.60
3 Pt 0.0000 0.0000 0.5000  4 I 3.68, 8 Te 3.76
4 W 0.5000 0.5000 0.0000  4 Te 2.60, 2 I 2.71
5 I 0.5000 0.5000 0.5000  2 W 2.71

Values from the calculation:
Space-group type: P4/mmm
Density of states at the Fermi level (states/eV/atom): 1.321

---

Last place for stability: A